The following is a GGA-PBEsol calculation of crystalline TiCrCo2 at its relaxed geometry, from Alexandria via LeMat-Bulk.

a b c (Å): 4.0705 4.0705 4.0705
angles (deg): 60.00 60.00 60.00
With the nearest neighbours (Å) after each atom.
Atoms (fractional coordinates):
Ti  0.0000  0.0000  0.0000  8 Co 2.49
Cr  0.5000  0.5000  0.5000  8 Co 2.49
Co  0.2500  0.2500  0.2500  4 Cr 2.49, 4 Ti 2.49
Co  0.7500  0.7500  0.7500  4 Cr 2.49, 4 Ti 2.49

Summary:
Raw total energy in Ry per atom: -0.6337
Energy of formation from the pure elements in eV per atom: -0.11